No. 1
Below is a relaxed TaBe2Br crystal, with properties calculated at the GGA-PBE level.

a = 4.752 Å, b = 4.752 Å, c = 4.938 Å
α = 96.03°, β = 96.03°, γ = 37.33°
Fractional positions:
Be  0.034  0.034  0.883
Be  0.466  0.466  0.617
Br  0.250  0.250  0.250
Ta  0.750  0.750  0.750



No. 2
Below is a relaxed Ta2BeBr crystal, with properties calculated at the GGA-PBE level.

a = 4.472 Å, b = 4.472 Å, c = 4.472 Å
α = 60.00°, β = 60.00°, γ = 60.00°
Fractional positions:
Br  0.500  0.500  0.500
Ta  0.750  0.750  0.750
Ta  0.250  0.250  0.250
Be  0.000  0.000  0.000



No. 3
Below is a relaxed TaBeBr2 crystal, with properties calculated at the GGA-PBE level.

a = 3.126 Å, b = 4.769 Å, c = 4.769 Å
α = 90.00°, β = 90.00°, γ = 90.00°
Fractional positions:
Be  0.500  0.000  0.500
Ta  0.500  0.500  0.000
Br  0.000  0.500  0.500
Br  0.000  0.000  0.000



No. 4
Below is a relaxed TaBeBr2 crystal, with properties calculated at the GGA-PBE level.

a = 4.838 Å, b = 4.838 Å, c = 4.838 Å
α = 60.00°, β = 60.00°, γ = 60.00°
Site moments in Bohr magnetons follow the coordinates.
Fractional positions:
Be  0.500  0.500  0.500  0.10
Br  0.250  0.250  0.250  -0.01
Br  0.000  0.000  0.000  0.04
Ta  0.750  0.750  0.750  1.50



No. 5
Below is a relaxed TaBeBr2 crystal, with properties calculated at the GGA-PBE level.

a = 3.341 Å, b = 3.341 Å, c = 10.516 Å
α = 90.00°, β = 90.00°, γ = 125.35°
Fractional positions:
Br  0.000  0.000  0.454
Br  0.000  0.000  0.046
Ta  0.500  0.500  0.250
Be  0.500  0.500  0.750



No. 6
Below is a relaxed TaBeBr2 crystal, with properties calculated at the GGA-PBE level.

a = 4.349 Å, b = 4.349 Å, c = 8.210 Å
α = 79.08°, β = 79.08°, γ = 43.60°
Fractional positions:
Be  0.183  0.183  0.305
Ta  0.446  0.446  0.409
Br  0.020  0.020  0.126
Br  0.851  0.851  0.660



| no. | total DFT energy (no corrections) (eV per atom) | formation energy from raw total energies (eV/f.u.) |
| --- | --- | --- |
| 1 | -4.525 | 2.9 |
| 2 | -6.556 | 2.9 |
| 3 | -3.737 | 4.0 |
| 4 | -3.454 | 5.1 |
| 5 | -4.120 | 2.4 |
| 6 | -4.611 | 0.5 |